Run A
PBE-GGA VReGe3, relaxed; V = 170 Å³/cell; M_tot = 0.00 μB/cell
1.0
3.088 0.000 0.000
0.000 8.060 0.000
0.000 0.000 6.843
V Re Ge
2 2 6
direct
0.250 0.250 0.139 V
0.750 0.750 0.861 V
0.250 0.250 0.533 Re
0.750 0.750 0.467 Re
0.250 0.548 0.679 Ge
0.250 0.750 0.170 Ge
0.250 0.952 0.679 Ge
0.750 0.048 0.321 Ge
0.750 0.250 0.830 Ge
0.750 0.452 0.321 Ge



Run B
PBE-GGA VReGe3, relaxed; V = 113 Å³/cell; M_tot = 4.76 μB/cell
1.0
4.829 0.000 0.000
0.000 4.829 0.000
0.000 0.000 4.829
V Re Ge
1 1 3
direct
0.000 0.000 0.000 V
0.500 0.500 0.500 Re
0.000 0.500 0.500 Ge
0.500 0.000 0.500 Ge
0.500 0.500 0.000 Ge



So which one is most stable? That would be run A, about 685 meV/atom below the next structure.



Run A
PBE-GGA VReGe, relaxed; V = 44 Å³/cell; M_tot = 0.00 μB/cell
1.0
4.353 0.000 0.000
-2.176 3.769 0.000
0.000 0.000 2.700
V Re Ge
1 1 1
direct
0.000 0.000 0.000 V
0.333 0.667 0.608 Re
0.667 0.333 0.570 Ge



Run B
PBE-GGA VReGe, relaxed; V = 43 Å³/cell; M_tot = 0.00 μB/cell
1.0
-1.570 1.570 4.318
1.570 -1.570 4.318
1.570 1.570 -4.318
V Re Ge
1 1 1
direct
0.000 0.000 0.000 V
0.341 0.341 0.000 Re
0.669 0.669 0.000 Ge



So which one is most stable? That would be run B, about 83 meV/atom below the next structure.